No. 1
## PrDy5Hg3 (PBE)

Data for crystalline PrDy5Hg3 at its relaxed geometry.

The structure in CIF format:
```
data_PrDy5Hg3
_chemical_formula_sum 'Pr2 Dy10 Hg6'
_cell_length_a 9.1272
_cell_length_b 9.1272
_cell_length_c 6.9751
_cell_angle_alpha 90.00
_cell_angle_beta 90.00
_cell_angle_gamma 120.00
_symmetry_space_group_name_H-M 'P 63/m c m'
_symmetry_Int_Tables_number 193
_symmetry_space_group_name_Hall '-P 6c 2'
loop_
_atom_site_label
_atom_site_fract_x
_atom_site_fract_y
_atom_site_fract_z
Pr1 0.0000 0.0000 0.0000
Dy1 0.0000 0.3307 0.2500
Dy2 0.3333 0.6667 0.0000
Hg1 0.0000 0.3411 0.7500
```

=====

No. 2
# PrDy2Hg6 PBE relaxed
# - Energy relative to the lowest polymorph listed for this composition: 0.223 eV/atom
data_PrDy2Hg6
_chemical_formula_sum 'Pr2 Dy4 Hg12'
_cell_length_a 4.5651
_cell_length_b 4.5651
_cell_length_c 25.6863
_cell_angle_alpha 90.00
_cell_angle_beta 90.00
_cell_angle_gamma 90.00
_symmetry_space_group_name_H-M 'I 4/m m m'
_symmetry_Int_Tables_number 139
_symmetry_space_group_name_Hall '-I 4 2'
loop_
_atom_site_label
_atom_site_fract_x
_atom_site_fract_y
_atom_site_fract_z
Pr1 0.0000 0.0000 0.0000
Dy1 0.0000 0.0000 0.3311
Hg1 0.0000 0.5000 0.0882
Hg2 0.0000 0.5000 0.2500

=====

No. 3
# Pr2DyHg4 PBE relaxed
# - Energy relative to the lowest polymorph listed for this composition: 0.294 eV/atom
data_Pr2DyHg4
_chemical_formula_sum 'Pr4 Dy2 Hg8'
_cell_length_a 5.6420
_cell_length_b 5.6420
_cell_length_c 15.7698
_cell_angle_alpha 90.00
_cell_angle_beta 90.00
_cell_angle_gamma 90.00
_symmetry_space_group_name_H-M 'I 4/m m m'
_symmetry_Int_Tables_number 139
_symmetry_space_group_name_Hall '-I 4 2'
loop_
_atom_site_label
_atom_site_fract_x
_atom_site_fract_y
_atom_site_fract_z
Pr1 0.0000 0.0000 0.1079
Dy1 0.0000 0.0000 0.5000
Hg1 0.0000 0.0000 0.3088
Hg2 0.0000 0.5000 0.0000

=====

No. 4
## PrDy6Hg3 (PBE)

Data for crystalline PrDy6Hg3 at its relaxed geometry.

The structure in CIF format:
```
data_PrDy6Hg3
_chemical_formula_sum 'Pr2 Dy12 Hg6'
_cell_length_a 10.3167
_cell_length_b 5.0433
_cell_length_c 11.4212
_cell_angle_alpha 90.00
_cell_angle_beta 90.34
_cell_angle_gamma 90.00
_symmetry_space_group_name_H-M 'P 1 21/m 1'
_symmetry_Int_Tables_number 11
loop_
_symmetry_equiv_pos_as_xyz
'x,y,z'
'-x,-y,-z'
'-x,y+1/2,-z'
'x,-y+1/2,z'
loop_
_atom_site_label
_atom_site_fract_x
_atom_site_fract_y
_atom_site_fract_z
Pr1 0.2473 0.2500 0.1198
Dy1 0.0361 0.7500 0.6146
Dy2 0.0961 0.7500 0.9306
Dy3 0.2505 0.2500 0.7392
Dy4 0.2550 0.7500 0.3540
Dy5 0.4696 0.7500 0.1130
Dy6 0.4815 0.7500 0.6166
Hg1 0.0277 0.7500 0.1899
Hg2 0.2412 0.2500 0.4858
Hg3 0.3689 0.7500 0.8671
```

=====

No. 5
## Pr2Dy6Hg (PBE)

Data for crystalline Pr2Dy6Hg at its relaxed geometry.

The structure in CIF format:
```
data_Pr2Dy6Hg
_chemical_formula_sum 'Pr4 Dy12 Hg2'
_cell_length_a 9.7989
_cell_length_b 10.3079
_cell_length_c 5.5183
_cell_angle_alpha 90.00
_cell_angle_beta 90.00
_cell_angle_gamma 90.00
_symmetry_space_group_name_H-M 'P n n m'
_symmetry_Int_Tables_number 58
loop_
_symmetry_equiv_pos_as_xyz
'x,y,z'
'-x,-y,-z'
'-x,-y,z'
'x,y,-z'
'x+1/2,-y+1/2,-z+1/2'
'-x+1/2,y+1/2,z+1/2'
'-x+1/2,y+1/2,-z+1/2'
'x+1/2,-y+1/2,z+1/2'
loop_
_atom_site_label
_atom_site_fract_x
_atom_site_fract_y
_atom_site_fract_z
Pr1 0.1904 0.2492 0.0000
Dy1 0.0177 0.3170 0.5000
Dy2 0.1376 0.8971 0.0000
Dy3 0.1833 0.5744 0.0000
Hg1 0.0000 0.0000 0.5000
```

=====

No. 6
## Pr3DyHg12 (PBE)

Data for crystalline Pr3DyHg12 at its relaxed geometry.

The structure in CIF format:
```
data_Pr3DyHg12
_chemical_formula_sum 'Pr3 Dy1 Hg12'
_cell_length_a 4.6800
_cell_length_b 4.6800
_cell_length_c 18.9796
_cell_angle_alpha 90.00
_cell_angle_beta 90.00
_cell_angle_gamma 90.00
_symmetry_space_group_name_H-M 'P 4/m m m'
_symmetry_Int_Tables_number 123
_symmetry_space_group_name_Hall '-P 4 2'
loop_
_atom_site_label
_atom_site_fract_x
_atom_site_fract_y
_atom_site_fract_z
Pr1 0.0000 0.0000 0.0000
Pr2 0.0000 0.0000 0.2542
Dy1 0.0000 0.0000 0.5000
Hg1 0.0000 0.5000 0.1267
Hg2 0.0000 0.5000 0.3801
Hg3 0.5000 0.5000 0.0000
Hg4 0.5000 0.5000 0.2537
Hg5 0.5000 0.5000 0.5000
```

=====

No. 7
# Pr4DyHg PBE relaxed
# - Energy relative to the lowest polymorph listed for this composition: 0.000 eV/atom
data_Pr4DyHg
_chemical_formula_sum 'Pr4 Dy1 Hg1'
_cell_length_a 3.7268
_cell_length_b 3.7268
_cell_length_c 14.2606
_cell_angle_alpha 90.00
_cell_angle_beta 90.00
_cell_angle_gamma 90.00
_symmetry_space_group_name_H-M 'P 4/m m m'
_symmetry_Int_Tables_number 123
_symmetry_space_group_name_Hall '-P 4 2'
loop_
_atom_site_label
_atom_site_fract_x
_atom_site_fract_y
_atom_site_fract_z
Pr1 0.0000 0.0000 0.1442
Pr2 0.5000 0.5000 0.3254
Dy1 0.0000 0.0000 0.5000
Hg1 0.5000 0.5000 0.0000

=====

No. 8
# Pr3DyHg2 PBE relaxed
# - Energy relative to the lowest polymorph listed for this composition: 0.000 eV/atom
data_Pr3DyHg2
_chemical_formula_sum 'Pr6 Dy2 Hg4'
_cell_length_a 5.3291
_cell_length_b 9.6799
_cell_length_c 7.0891
_cell_angle_alpha 90.00
_cell_angle_beta 90.00
_cell_angle_gamma 90.00
_symmetry_space_group_name_H-M 'P m c 21'
_symmetry_Int_Tables_number 26
loop_
_symmetry_equiv_pos_as_xyz
'x,y,z'
'-x,-y,z+1/2'
'-x,y,z'
'x,-y,z+1/2'
loop_
_atom_site_label
_atom_site_fract_x
_atom_site_fract_y
_atom_site_fract_z
Pr1 0.0000 0.0524 0.0000
Pr2 0.0000 0.3307 0.3331
Pr3 0.5000 0.1771 0.6896
Dy1 0.5000 0.4474 0.0268
Hg1 0.0000 0.3513 0.7883
Hg2 0.5000 0.1535 0.2393

=====

No. 9
## PrDy8Hg2 (PBE)

Data for crystalline PrDy8Hg2 at its relaxed geometry.

The structure in CIF format:
```
data_PrDy8Hg2
_chemical_formula_sum 'Pr2 Dy16 Hg4'
_cell_length_a 8.8045
_cell_length_b 14.8864
_cell_length_c 5.5699
_cell_angle_alpha 90.00
_cell_angle_beta 110.43
_cell_angle_gamma 90.00
_symmetry_space_group_name_H-M 'C 1 2/m 1'
_symmetry_Int_Tables_number 12
loop_
_symmetry_equiv_pos_as_xyz
'x,y,z'
'-x,-y,-z'
'-x,y,-z'
'x,-y,z'
'x+1/2,y+1/2,z'
'-x+1/2,-y+1/2,-z'
'-x+1/2,y+1/2,-z'
'x+1/2,-y+1/2,z'
loop_
_atom_site_label
_atom_site_fract_x
_atom_site_fract_y
_atom_site_fract_z
Pr1 0.0000 0.0000 0.0000
Dy1 0.0000 0.2271 0.0000
Dy2 0.0977 0.5000 0.7972
Dy3 0.2065 0.1148 0.6085
Hg1 0.0000 0.3064 0.5000
```

=====

No. 10
# PrDyHg PBE relaxed
# - Energy relative to the lowest polymorph listed for this composition: 0.028 eV/atom
data_PrDyHg
_chemical_formula_sum 'Pr2 Dy2 Hg2'
_cell_length_a 3.7119
_cell_length_b 3.7119
_cell_length_c 12.9036
_cell_angle_alpha 90.00
_cell_angle_beta 90.00
_cell_angle_gamma 90.00
_symmetry_space_group_name_H-M 'I 4 m m'
_symmetry_Int_Tables_number 107
_symmetry_space_group_name_Hall 'I 4 -2'
loop_
_atom_site_label
_atom_site_fract_x
_atom_site_fract_y
_atom_site_fract_z
Pr1 0.0000 0.0000 0.0000
Dy1 0.0000 0.0000 0.3065
Hg1 0.0000 0.0000 0.6683

=====

Final energy in eV/atom, matching the order above: -3.48, -1.93, -2.25, -3.55, -4.18, -1.75, -4.15, -3.58, -3.88, -3.53
Fermi-level density of states in states/eV/cell, matching the order above: 13.6, 11.4, 13.9, 19.7, 26.5, 14.9, 8.2, 7.6, 27.3, 7.2